[1]
Material: CsCS2O8
Method: DFT, PBE
State: relaxed

Cell and atoms, written as POSCAR:
```
CsCS2O8
1.0
4.585 0.000 0.000
2.293 6.078 -0.164
2.293 2.077 6.815
S O Cs C
2 8 1 1
direct
0.661 0.810 0.869
0.339 0.190 0.131
0.680 0.019 0.157
0.144 0.019 0.157
0.320 0.981 0.843
0.786 0.736 0.692
0.214 0.264 0.308
0.856 0.981 0.843
0.349 0.357 0.946
0.651 0.643 0.054
0.500 0.500 0.500
0.000 0.000 0.000
```



[2]
Material: CsSbC2O6
Method: DFT, PBE
State: relaxed

Cell and atoms, written as POSCAR:
```
CsSbC2O6
1.0
-5.046 2.124 -4.547
3.925 -3.426 -4.849
-3.283 -5.538 4.250
C O Cs Sb
4 12 2 2
direct
0.817 0.601 0.763
0.183 0.399 0.237
0.601 0.817 0.263
0.399 0.183 0.737
0.752 0.718 0.891
0.525 0.338 0.879
0.718 0.752 0.391
0.600 0.992 0.271
0.662 0.475 0.621
0.248 0.282 0.109
0.475 0.662 0.121
0.282 0.248 0.609
0.400 0.008 0.729
0.338 0.525 0.379
0.992 0.600 0.771
0.008 0.400 0.229
0.118 0.882 0.250
0.882 0.118 0.750
0.562 0.438 0.250
0.438 0.562 0.750
```



[3]
Material: CsSnC2O6
Method: DFT, PBE
State: relaxed

Cell and atoms, written as POSCAR:
```
CsSnC2O6
1.0
6.777 0.177 -0.234
-0.654 6.747 -0.234
-2.012 -2.275 7.082
O Cs Sn C
12 2 2 4
direct
0.290 0.295 0.688
0.735 0.433 0.574
0.680 0.018 0.290
0.705 0.710 0.812
0.295 0.290 0.188
0.982 0.320 0.210
0.265 0.567 0.426
0.320 0.982 0.710
0.567 0.265 0.926
0.433 0.735 0.074
0.018 0.680 0.790
0.710 0.705 0.312
0.894 0.106 0.750
0.106 0.894 0.250
0.647 0.353 0.250
0.353 0.647 0.750
0.819 0.603 0.720
0.181 0.397 0.280
0.603 0.819 0.220
0.397 0.181 0.780
```



[4]
Material: Cs2Sr2C3O9
Method: DFT, PBE
State: relaxed

Cell and atoms, written as POSCAR:
```
Cs2Sr2C3O9
1.0
8.835 0.000 0.000
-2.945 8.330 0.000
-2.945 -4.165 7.214
O C Sr Cs
18 6 4 4
direct
0.774 0.250 0.024
0.867 0.291 0.646
0.424 0.633 0.279
0.024 0.774 0.250
0.291 0.646 0.867
0.633 0.279 0.424
0.221 0.854 0.145
0.209 0.076 0.355
0.355 0.209 0.076
0.476 0.726 0.750
0.145 0.221 0.854
0.646 0.867 0.291
0.279 0.424 0.633
0.076 0.355 0.209
0.750 0.476 0.726
0.726 0.750 0.476
0.854 0.145 0.221
0.250 0.024 0.774
0.152 0.902 0.250
0.902 0.250 0.152
0.750 0.348 0.598
0.250 0.152 0.902
0.598 0.750 0.348
0.348 0.598 0.750
0.100 0.500 0.000
0.000 0.100 0.500
0.400 0.400 0.400
0.500 0.000 0.100
0.500 0.000 0.612
0.612 0.500 0.000
0.000 0.612 0.500
0.888 0.888 0.888
```



[5]
Material: CsTaC2O8
Method: DFT, PBE
State: relaxed

Cell and atoms, written as POSCAR:
```
CsTaC2O8
1.0
4.987 0.000 0.000
-2.494 4.319 0.000
0.000 0.000 8.645
O Cs Ta C
8 1 1 2
direct
0.235 0.867 0.632
0.133 0.368 0.632
0.368 0.235 0.368
0.333 0.667 0.841
0.632 0.765 0.632
0.867 0.632 0.368
0.667 0.333 0.159
0.765 0.133 0.368
0.000 0.000 0.000
0.000 0.000 0.500
0.667 0.333 0.315
0.333 0.667 0.685
```



[6]
Material: CsTbC2O6
Method: DFT, PBE
State: relaxed

Cell and atoms, written as POSCAR:
```
CsTbC2O6
1.0
-2.177 -0.347 -6.150
4.763 -4.295 -1.248
-5.030 -3.817 4.046
O C Tb Cs
12 4 2 2
direct
0.463 0.704 0.089
0.599 0.047 0.242
0.953 0.401 0.258
0.401 0.953 0.758
0.296 0.537 0.411
0.537 0.296 0.911
0.706 0.777 0.368
0.223 0.294 0.132
0.777 0.706 0.868
0.294 0.223 0.632
0.047 0.599 0.742
0.704 0.463 0.589
0.409 0.151 0.767
0.591 0.849 0.233
0.151 0.409 0.267
0.849 0.591 0.733
0.407 0.593 0.750
0.593 0.407 0.250
0.901 0.099 0.750
0.099 0.901 0.250
```



[7]
Material: CsTiC2O8
Method: DFT, PBE
State: relaxed

Cell and atoms, written as POSCAR:
```
CsTiC2O8
1.0
-4.053 -1.286 -2.710
-1.483 -4.815 -0.187
-6.636 -0.828 5.626
Cs C Ti O
1 2 1 8
direct
0.500 0.500 0.500
0.728 0.729 0.814
0.272 0.271 0.186
0.000 0.000 0.000
0.783 0.784 0.650
0.411 0.862 0.867
0.860 0.412 0.868
0.589 0.138 0.133
0.140 0.588 0.132
0.860 0.862 0.867
0.140 0.138 0.133
0.217 0.216 0.350
```



[8]
Material: Cs2TlC2O6
Method: DFT, PBE
State: relaxed

Cell and atoms, written as POSCAR:
```
Cs2TlC2O6
1.0
5.460 0.000 0.000
-2.730 6.152 0.124
0.000 -3.387 6.623
O Cs C Tl
6 2 2 1
direct
0.884 0.767 0.622
0.735 0.877 0.216
0.858 0.123 0.784
0.265 0.123 0.784
0.116 0.233 0.378
0.142 0.877 0.216
0.313 0.626 0.810
0.687 0.374 0.190
0.998 0.996 0.726
0.002 0.004 0.274
0.500 0.000 0.500
```



Ordered uncorrected formation energy results: -9.75 -14.66 -14.34 -33.22 -17.75 -21.34 -16.31 -15.93; unit eV per formula unit.